{
  "formula": "HfCoAsBr2",
  "functional": "PBE",
  "state": "relaxed",
  "crystal_system": "tetragonal",
  "n_ef_per_ev_cell": 4.322,
  "magnetic_moment_mub_per_cell": 0.527,
  "e_form_raw_mev_per_atom": 417,
  "dft_energy_ev_per_atom": -4.594,
  "relative_energy_ev_per_fu": 0.43,
  "lattice": [[4.630, 0.000, 0.000], [0.000, 4.630, 0.000], [0.000, 0.000, 4.889]],
  "species": ["Hf", "Co", "As", "Br", "Br"],
  "fractional_positions": [[0.000, 0.000, 0.000], [0.500, 0.500, 0.500], [0.500, 0.500, 0.000], [0.000, 0.500, 0.500], [0.500, 0.000, 0.500]]
}